Model w:
Compound: Mn3Tc2
Source: the Alexandria database
Functional: PBE
Structure: optimized geometry

a = 6.5753 Å, b = 4.9481 Å, c = 7.5554 Å
α = 59.16°, β = 40.25°, γ = 80.59°
Element x y z (fractional)
Mn: 0.0000 0.0000 0.0000
Mn: 0.2500 0.2500 0.2500
Mn: 0.4215 0.5038 0.3842
Mn: 0.5038 0.4215 0.6906
Mn: 0.5594 0.8658 0.7462
Mn: 0.8658 0.5594 0.8285
Tc: 0.0884 0.7651 0.3046
Tc: 0.4082 0.9454 0.4849
Tc: 0.7651 0.0884 0.8418
Tc: 0.9454 0.4082 0.1616

Calculated values
volume	62.2	Å³/f.u.
Fermi-level density of states	12.34	states/eV per cell


Model x:
Compound: Mn3Tc2
Source: the Alexandria database
Functional: PBE
Structure: optimized geometry

a = 10.6558 Å, b = 10.6558 Å, c = 10.6558 Å
α = 14.11°, β = 14.11°, γ = 14.11°
Element x y z (fractional)
Mn: 0.0000 0.0000 0.0000
Mn: 0.1970 0.1970 0.1970
Mn: 0.8030 0.8030 0.8030
Tc: 0.4008 0.4008 0.4008
Tc: 0.5992 0.5992 0.5992

Calculated values
volume	62.6	Å³/f.u.
Fermi-level density of states	6.23	states/eV per cell


Model y:
Compound: Mn3Tc2
Source: the Alexandria database
Functional: PBE
Structure: optimized geometry

a = 4.0442 Å, b = 4.0442 Å, c = 5.0457 Å
α = 90.00°, β = 90.00°, γ = 120.00°
Element x y z (fractional)
Mn: 0.0000 0.0000 0.0000
Mn: 0.3333 0.6667 0.3588
Mn: 0.6667 0.3333 0.6412
Tc: 0.3333 0.6667 0.8248
Tc: 0.6667 0.3333 0.1752

Calculated values
volume	71.5	Å³/f.u.
Fermi-level density of states	6.40	states/eV per cell


Which is most stable, and by how much? model w, by 6.8 kJ/mol of atoms.


Model w:
Compound: Mn4Tc3
Source: the Alexandria database
Functional: PBE
Structure: optimized geometry

a = 13.0418 Å, b = 13.0418 Å, c = 13.0418 Å
α = 168.41°, β = 168.41°, γ = 16.42°
Element x y z (fractional)
Mn: 0.0734 0.0734 0.0000
Mn: 0.3628 0.3628 0.0000
Mn: 0.6372 0.6372 0.0000
Mn: 0.9266 0.9266 0.0000
Tc: 0.2093 0.2093 0.0000
Tc: 0.5000 0.5000 0.0000
Tc: 0.7907 0.7907 0.0000

Calculated values
volume	89.6	Å³/f.u.
Fermi-level density of states	8.76	states/eV per cell


Model x:
Compound: Mn4Tc3
Source: the Alexandria database
Functional: PBE
Structure: optimized geometry

a = 4.9689 Å, b = 4.9689 Å, c = 4.5538 Å
α = 90.00°, β = 90.00°, γ = 120.00°
Element x y z (fractional)
Mn: 0.0000 0.0000 0.2219
Mn: 0.0000 0.0000 0.7781
Mn: 0.3333 0.6667 0.0000
Mn: 0.6667 0.3333 0.0000
Tc: 0.0000 0.5000 0.5000
Tc: 0.5000 0.0000 0.5000
Tc: 0.5000 0.5000 0.5000

Calculated values
volume	97.4	Å³/f.u.
Fermi-level density of states	6.22	states/eV per cell


Which is most stable, and by how much? model w, by 15.2 kJ/mol of atoms.


Model w:
Compound: Mn3Tc4
Source: the Alexandria database
Functional: PBE
Structure: optimized geometry

a = 4.6536 Å, b = 4.6536 Å, c = 4.8517 Å
α = 90.00°, β = 90.00°, γ = 120.00°
Element x y z (fractional)
Mn: 0.0000 0.5000 0.0000
Mn: 0.5000 0.0000 0.0000
Mn: 0.5000 0.5000 0.0000
Tc: 0.0000 0.0000 0.2573
Tc: 0.0000 0.0000 0.7427
Tc: 0.3333 0.6667 0.5000
Tc: 0.6667 0.3333 0.5000

Calculated values
volume	91.0	Å³/f.u.
Fermi-level density of states	8.89	states/eV per cell


Model x:
Compound: Mn3Tc4
Source: the Alexandria database
Functional: PBE
Structure: optimized geometry

a = 10.4529 Å, b = 10.4529 Å, c = 10.4529 Å
α = 163.29°, β = 163.29°, γ = 23.72°
Element x y z (fractional)
Mn: 0.0000 0.0000 0.0000
Mn: 0.2816 0.2816 0.0000
Mn: 0.7184 0.7184 0.0000
Tc: 0.1488 0.1488 0.0000
Tc: 0.4292 0.4292 0.0000
Tc: 0.5708 0.5708 0.0000
Tc: 0.8512 0.8512 0.0000

Calculated values
volume	94.5	Å³/f.u.
Fermi-level density of states	8.03	states/eV per cell


Which is most stable, and by how much? model w, by 11.6 kJ/mol of atoms.


Model w:
Compound: MnTcTe2
Source: the Alexandria database
Functional: PBE
Structure: optimized geometry

a = 3.7032 Å, b = 4.1651 Å, c = 5.6989 Å
α = 90.00°, β = 101.16°, γ = 90.00°
Element x y z (fractional)
Mn: 0.0000 0.0000 0.0000
Tc: 0.5000 0.0000 0.5000
Te: 0.3020 0.5000 0.7435
Te: 0.6980 0.5000 0.2565

Calculated values
volume	86.2	Å³/f.u.
Fermi-level density of states	3.07	states/eV per cell


Model x:
Compound: MnTcTe2
Source: the Alexandria database
Functional: PBE
Structure: optimized geometry

a = 4.6139 Å, b = 4.6139 Å, c = 4.6139 Å
α = 60.00°, β = 60.00°, γ = 60.00°
Element x y z (fractional)
Mn: 0.0000 0.0000 0.0000
Tc: 0.5000 0.5000 0.5000
Te: 0.2500 0.2500 0.2500
Te: 0.7500 0.7500 0.7500

Calculated values
volume	69.5	Å³/f.u.
Fermi-level density of states	4.00	states/eV per cell


Which is most stable, and by how much? model x, by 11.0 kJ/mol of atoms.


Model w:
Compound: MnTcTe2
Source: the Alexandria database
Functional: PBE
Structure: optimized geometry

a = 7.4928 Å, b = 7.4928 Å, c = 7.4928 Å
α = 153.32°, β = 149.56°, γ = 40.92°
Element x y z (fractional)
Mn: 0.0000 0.0000 0.0000
Tc: 0.6117 0.1117 0.5000
Te: 0.1956 0.6956 0.5000
Te: 0.4501 0.4501 0.0000

Calculated values
volume	95.5	Å³/f.u.
Fermi-level density of states	2.35	states/eV per cell


Model x:
Compound: MnTcTe2
Source: the Alexandria database
Functional: PBE
Structure: optimized geometry

a = 3.4176 Å, b = 3.4176 Å, c = 7.7360 Å
α = 90.00°, β = 90.00°, γ = 90.00°
Element x y z (fractional)
Mn: 0.0000 0.0000 0.0000
Tc: 0.5000 0.5000 0.1927
Te: 0.0000 0.0000 0.3739
Te: 0.5000 0.5000 0.8324

Calculated values
volume	90.4	Å³/f.u.
Fermi-level density of states	2.41	states/eV per cell


Which is most stable, and by how much? model x, by 13.8 kJ/mol of atoms.


Model w:
Compound: MnTcTe2
Source: the Alexandria database
Functional: PBE
Structure: optimized geometry

a = 8.1394 Å, b = 8.1394 Å, c = 8.1394 Å
α = 24.13°, β = 24.13°, γ = 24.13°
Element x y z (fractional)
Mn: 0.0000 0.0000 0.0000
Tc: 0.5000 0.5000 0.5000
Te: 0.2489 0.2489 0.2489
Te: 0.7511 0.7511 0.7511

Calculated values
volume	79.2	Å³/f.u.
Fermi-level density of states	3.64	states/eV per cell


Model x:
Compound: MnTcTe2
Source: the Alexandria database
Functional: PBE
Structure: optimized geometry

a = 7.1344 Å, b = 7.1344 Å, c = 7.1344 Å
α = 131.39°, β = 131.39°, γ = 71.19°
Element x y z (fractional)
Mn: 0.0000 0.0000 0.0000
Mn: 0.7500 0.2500 0.5000
Tc: 0.2500 0.7500 0.5000
Tc: 0.5000 0.5000 0.0000
Te: 0.1098 0.6250 0.9848
Te: 0.3750 0.3598 0.4848
Te: 0.6402 0.1250 0.0152
Te: 0.8750 0.8902 0.5152

Calculated values
volume	100.0	Å³/f.u.
Fermi-level density of states	9.33	states/eV per cell


Model y:
Compound: MnTcTe2
Source: the Alexandria database
Functional: PBE
Structure: optimized geometry

a = 5.7127 Å, b = 5.7127 Å, c = 5.7127 Å
α = 139.19°, β = 139.19°, γ = 59.09°
Element x y z (fractional)
Mn: 0.0000 0.0000 0.0000
Tc: 0.2500 0.7500 0.5000
Te: 0.5000 0.5000 0.0000
Te: 0.7500 0.2500 0.5000

Calculated values
volume	78.9	Å³/f.u.
Fermi-level density of states	4.59	states/eV per cell


Model z:
Compound: MnTcTe2
Source: the Alexandria database
Functional: PBE
Structure: optimized geometry

a = 3.3366 Å, b = 3.3366 Å, c = 6.7727 Å
α = 90.00°, β = 90.00°, γ = 90.00°
Element x y z (fractional)
Mn: 0.0000 0.0000 0.0000
Tc: 0.0000 0.0000 0.5000
Te: 0.5000 0.5000 0.2542
Te: 0.5000 0.5000 0.7458

Calculated values
volume	75.4	Å³/f.u.
Fermi-level density of states	3.73	states/eV per cell


Which is most stable, and by how much? model z, by 1.7 kJ/mol of atoms.


Model w:
Compound: MnTcTe2
Source: the Alexandria database
Functional: PBE
Structure: optimized geometry

a = 8.8586 Å, b = 8.8586 Å, c = 8.8586 Å
α = 21.64°, β = 21.64°, γ = 21.64°
Element x y z (fractional)
Mn: 0.0000 0.0000 0.0000
Tc: 0.5000 0.5000 0.5000
Te: 0.4014 0.4014 0.4014
Te: 0.5986 0.5986 0.5986

Calculated values
volume	82.9	Å³/f.u.
Fermi-level density of states	4.33	states/eV per cell


Model x:
Compound: MnTcTe2
Source: the Alexandria database
Functional: PBE
Structure: optimized geometry

a = 4.8503 Å, b = 4.8503 Å, c = 4.8503 Å
α = 60.00°, β = 60.00°, γ = 60.00°
Element x y z (fractional)
Mn: 0.0000 0.0000 0.0000
Tc: 0.7500 0.7500 0.7500
Te: 0.2500 0.2500 0.2500
Te: 0.5000 0.5000 0.5000

Calculated values
volume	80.7	Å³/f.u.
Fermi-level density of states	3.04	states/eV per cell


Which is most stable, and by how much? model w, by 22.0 kJ/mol of atoms.


Model w:
Compound: Mn2Tc2Te
Source: the Alexandria database
Functional: PBE
Structure: optimized geometry

a = 7.3677 Å, b = 7.3677 Å, c = 2.8347 Å
α = 90.00°, β = 90.00°, γ = 90.00°
Element x y z (fractional)
Mn: 0.1323 0.3677 0.0000
Mn: 0.3677 0.8677 0.0000
Mn: 0.6323 0.1323 0.0000
Mn: 0.8677 0.6323 0.0000
Tc: 0.1502 0.6502 0.5000
Tc: 0.3498 0.1502 0.5000
Tc: 0.6502 0.8498 0.5000
Tc: 0.8498 0.3498 0.5000
Te: 0.0000 0.0000 0.5000
Te: 0.5000 0.5000 0.5000

Calculated values
volume	76.9	Å³/f.u.
Fermi-level density of states	10.05	states/eV per cell


Model x:
Compound: Mn2Tc2Te
Source: the Alexandria database
Functional: PBE
Structure: optimized geometry

a = 7.3878 Å, b = 7.3878 Å, c = 7.3878 Å
α = 154.40°, β = 154.40°, γ = 36.53°
Element x y z (fractional)
Mn: 0.2500 0.7500 0.5000
Mn: 0.7500 0.2500 0.5000
Tc: 0.1089 0.1089 0.0000
Tc: 0.8911 0.8911 0.0000
Te: 0.5000 0.5000 0.0000

Calculated values
volume	75.2	Å³/f.u.
Fermi-level density of states	3.92	states/eV per cell


Which is most stable, and by how much? model x, by 4.2 kJ/mol of atoms.


Model w:
Compound: ThMnTc
Source: the Alexandria database
Functional: PBE
Structure: optimized geometry

a = 5.4631 Å, b = 5.4631 Å, c = 5.4631 Å
α = 122.13°, β = 120.33°, γ = 87.89°
Element x y z (fractional)
Th: 0.3730 0.1230 0.2500
Th: 0.6270 0.8770 0.7500
Mn: 0.0000 0.5000 0.5000
Mn: 0.5000 0.5000 0.0000
Tc: 0.0000 0.0000 0.5000
Tc: 0.0000 0.5000 0.0000

Calculated values
volume	56.5	Å³/f.u.
Fermi-level density of states	6.08	states/eV per cell


Model x:
Compound: ThMnTc
Source: the Alexandria database
Functional: PBE
Structure: optimized geometry

a = 6.5651 Å, b = 5.1662 Å, c = 5.6327 Å
α = 74.74°, β = 49.39°, γ = 55.87°
Element x y z (fractional)
Th: 0.0000 0.0000 0.0000
Th: 0.2500 0.2500 0.2500
Mn: 0.6393 0.6393 0.3607
Mn: 0.8893 0.8893 0.6107
Tc: 0.3381 0.3381 0.6619
Tc: 0.5881 0.5881 0.9119

Calculated values
volume	59.2	Å³/f.u.
Fermi-level density of states	8.08	states/eV per cell


Model y:
Compound: ThMnTc
Source: the Alexandria database
Functional: PBE
Structure: optimized geometry

a = 3.9601 Å, b = 3.9601 Å, c = 4.5259 Å
α = 90.00°, β = 90.00°, γ = 120.00°
Element x y z (fractional)
Th: 0.0000 0.0000 0.0000
Mn: 0.3333 0.6667 0.5504
Tc: 0.6667 0.3333 0.4627

Calculated values
volume	61.5	Å³/f.u.
Fermi-level density of states	2.50	states/eV per cell


Which is most stable, and by how much? model w, by 8.9 kJ/mol of atoms.


Model w:
Compound: MnTl2Tc
Source: the Alexandria database
Functional: PBE
Structure: optimized geometry

a = 5.5246 Å, b = 5.5246 Å, c = 5.5246 Å
α = 136.83°, β = 136.83°, γ = 62.70°
Element x y z (fractional)
Mn: 0.0000 0.0000 0.0000
Tl: 0.5000 0.5000 0.0000
Tl: 0.7500 0.2500 0.5000
Tc: 0.2500 0.7500 0.5000

Calculated values
volume	77.9	Å³/f.u.
Fermi-level density of states	2.33	states/eV per cell


Model x:
Compound: MnTl2Tc
Source: the Alexandria database
Functional: PBE
Structure: optimized geometry

a = 5.1736 Å, b = 5.1736 Å, c = 5.1736 Å
α = 131.44°, β = 131.32°, γ = 71.21°
Element x y z (fractional)
Mn: 0.0000 0.0000 0.0000
Tl: 0.2499 0.7499 0.5000
Tl: 0.7501 0.2501 0.5000
Tc: 0.5000 0.5000 0.0000

Calculated values
volume	76.3	Å³/f.u.
Fermi-level density of states	2.07	states/eV per cell


Model y:
Compound: MnTl2Tc
Source: the Alexandria database
Functional: PBE
Structure: optimized geometry

a = 4.8528 Å, b = 4.8528 Å, c = 4.8528 Å
α = 60.00°, β = 60.00°, γ = 60.00°
Element x y z (fractional)
Mn: 0.0000 0.0000 0.0000
Tl: 0.5000 0.5000 0.5000
Tl: 0.7500 0.7500 0.7500
Tc: 0.2500 0.2500 0.2500

Calculated values
volume	80.8	Å³/f.u.
Fermi-level density of states	4.95	states/eV per cell


Which is most stable, and by how much? model x, by 1.0 kJ/mol of atoms.


Model w:
Compound: MnTl2Tc
Source: the Alexandria database
Functional: PBE
Structure: optimized geometry

a = 4.5316 Å, b = 4.5316 Å, c = 3.6487 Å
α = 90.00°, β = 90.00°, γ = 90.00°
Element x y z (fractional)
Mn: 0.0000 0.0000 0.0000
Tl: 0.0000 0.5000 0.5000
Tl: 0.5000 0.0000 0.5000
Tc: 0.5000 0.5000 0.0000

Calculated values
volume	74.9	Å³/f.u.
Fermi-level density of states	3.28	states/eV per cell


Model x:
Compound: MnTl2Tc
Source: the Alexandria database
Functional: PBE
Structure: optimized geometry

a = 9.2430 Å, b = 9.2430 Å, c = 9.2430 Å
α = 19.58°, β = 19.58°, γ = 19.58°
Element x y z (fractional)
Mn: 0.0000 0.0000 0.0000
Tl: 0.2489 0.2489 0.2489
Tl: 0.7511 0.7511 0.7511
Tc: 0.5000 0.5000 0.5000

Calculated values
volume	77.5	Å³/f.u.
Fermi-level density of states	3.88	states/eV per cell


Which is most stable, and by how much? model w, by 3.9 kJ/mol of atoms.